The following is a GGA-PBE calculation of VCrReRu after structural relaxation, from Alexandria.

Calculated volume: 13.637 Å³ per atom
Symmetry: No. 216
ΔH_f (0 K): -0.0654 eV/atom
Spin magnetization: 0.42 μB/atom

a = 6.020 Å, b = 6.020 Å, c = 6.020 Å
α = 90.00°, β = 90.00°, γ = 90.00°
Sites, in units of the cell vectors:
V  0.000  0.000  0.000
V  0.000  0.500  0.500
V  0.500  0.000  0.500
V  0.500  0.500  0.000
Cr  0.000  0.000  0.500
Cr  0.000  0.500  0.000
Cr  0.500  0.000  0.000
Cr  0.500  0.500  0.500
Re  0.250  0.250  0.250
Re  0.250  0.750  0.750
Re  0.750  0.250  0.750
Re  0.750  0.750  0.250
Ru  0.250  0.250  0.750
Ru  0.250  0.750  0.250
Ru  0.750  0.250  0.250
Ru  0.750  0.750  0.750

The following is a GGA-PBE calculation of LaSc4Cu after structural relaxation, from Alexandria.

Calculated volume: 25.772 Å³ per atom
Symmetry: No. 216
ΔH_f (0 K): 0.4259 eV/atom
Spin magnetization: 0.00 μB/atom

a = 6.025 Å, b = 6.025 Å, c = 6.025 Å
α = 60.00°, β = 60.00°, γ = 60.00°
Sites, in units of the cell vectors:
La  0.000  0.000  0.000
Sc  0.125  0.625  0.625
Sc  0.625  0.125  0.625
Sc  0.625  0.625  0.125
Sc  0.625  0.625  0.625
Cu  0.250  0.250  0.250